#1
An optimized crystal structure of Zr2Te2Se, computed with PBE.

Geometry as CIF:
```
data_Zr2Te2Se
_space_group_name_H-M_alt 'P -3 m 1'
_space_group_IT_number 164
_space_group_name_Hall '-P 3 2"'
_cell_length_a 3.9496
_cell_length_b 3.9496
_cell_length_c 10.2597
_cell_angle_alpha 90.00
_cell_angle_beta 90.00
_cell_angle_gamma 120.00
loop_
_atom_site_label
_atom_site_fract_x
_atom_site_fract_y
_atom_site_fract_z
_atom_site_occupancy
Zr1 0.3333 0.6667 0.3542 1
Te1 0.3333 0.6667 0.8252 1
Se1 0.0000 0.0000 0.5000 1
```

Summary:
- V: 138.6 Å³/cell


#2
An optimized crystal structure of Zr2Te2Se, computed with PBE.

Geometry as CIF:
```
data_Zr2Te2Se
_space_group_name_H-M_alt 'P 4/m b m'
_space_group_IT_number 127
_space_group_name_Hall '-P 4 2ab'
_cell_length_a 7.834
_cell_length_b 7.834
_cell_length_c 3.885
_cell_angle_alpha 90.00
_cell_angle_beta 90.00
_cell_angle_gamma 90.00
loop_
_atom_site_label
_atom_site_fract_x
_atom_site_fract_y
_atom_site_fract_z
_atom_site_occupancy
Zr1 0.146 0.354 0.000 1
Te1 0.145 0.645 0.500 1
Se1 0.000 0.000 0.000 1
```

Summary:
- V: 238.4 Å³/cell


Most stable pick: #1. Distance to second place: 182 meV/atom.